# 1
This record from Alexandria describes crystalline SrTl2Pt at its relaxed geometry. The functional is GGA-PBEsol.

abc: 3.868 6.524 6.524
angles: 40.73 90.00 90.00
Positions (direct):
Sr1 0.000 0.000 0.000
Tl1 0.000 0.715 0.715
Tl2 0.500 0.319 0.319
Pt1 0.500 0.547 0.547

Results
ρ = 10.687 g cm⁻³
Crystal system = orthorhombic
Formation energy from the elements = -0.345 eV per atom



# 2
This record from Alexandria describes crystalline SrTl2Pt at its relaxed geometry. The functional is GGA-PBEsol.

abc: 6.033 6.033 6.033
angles: 46.42 46.42 46.42
Positions (direct):
Sr1 0.000 0.000 0.000
Tl1 0.556 0.556 0.556
Tl2 0.786 0.786 0.786
Pt1 0.191 0.191 0.191

Results
ρ = 10.915 g cm⁻³
Crystal system = trigonal
Formation energy from the elements = -0.382 eV per atom



# 3
This record from Alexandria describes crystalline SrTl2Pt at its relaxed geometry. The functional is GGA-PBEsol.

abc: 3.563 3.563 7.537
angles: 90.00 90.00 90.00
Positions (direct):
Sr1 0.000 0.000 0.000
Tl1 0.500 0.500 0.300
Tl2 0.500 0.500 0.700
Pt1 0.000 0.000 0.500

Results
ρ = 11.999 g cm⁻³
Crystal system = tetragonal
Formation energy from the elements = -0.260 eV per atom



# 4
This record from Alexandria describes crystalline Sr2TlPt at its relaxed geometry. The functional is GGA-PBEsol.

abc: 4.563 6.226 6.226
angles: 42.49 90.00 90.00
Positions (direct):
Sr1 0.000 0.000 0.000
Sr2 0.500 0.289 0.289
Tl1 0.500 0.583 0.583
Pt1 0.000 0.721 0.721

Results
ρ = 7.990 g cm⁻³
Crystal system = orthorhombic
Formation energy from the elements = -0.521 eV per atom



# 5
This record from Alexandria describes crystalline Sr2PtW at its relaxed geometry. The functional is GGA-PBEsol.

abc: 5.678 5.678 5.678
angles: 134.99 134.99 65.54
Positions (direct):
Sr1 0.250 0.750 0.500
Sr2 0.750 0.250 0.500
Pt1 0.000 0.000 0.000
W1 0.500 0.500 0.000

Results
ρ = 10.205 g cm⁻³
Crystal system = tetragonal
Formation energy from the elements = 0.850 eV per atom



# 6
This record from Alexandria describes crystalline Sr2PtW at its relaxed geometry. The functional is GGA-PBEsol.

abc: 4.299 6.039 6.039
angles: 47.19 90.00 90.00
Positions (direct):
Sr1 0.000 0.000 0.000
Sr2 0.500 0.288 0.288
Pt1 0.500 0.591 0.591
W1 0.000 0.691 0.691

Results
ρ = 8.001 g cm⁻³
Crystal system = orthorhombic
Formation energy from the elements = 0.348 eV per atom



# 7
This record from Alexandria describes crystalline SrPt2W at its relaxed geometry. The functional is GGA-PBEsol.

abc: 6.077 6.077 6.077
angles: 153.18 132.77 55.15
Positions (direct):
Sr1 0.000 0.000 0.000
Pt1 0.499 0.499 0.000
Pt2 0.731 0.231 0.500
W1 0.288 0.788 0.500

Results
ρ = 14.858 g cm⁻³
Crystal system = orthorhombic
Formation energy from the elements = 0.129 eV per atom



# 8
This record from Alexandria describes crystalline Sr2PtW at its relaxed geometry. The functional is GGA-PBEsol.

abc: 4.993 4.993 3.927
angles: 90.00 90.00 90.00
Positions (direct):
Sr1 0.000 0.500 0.000
Sr2 0.500 0.000 0.000
Pt1 0.000 0.000 0.500
W1 0.500 0.500 0.500

Results
ρ = 9.399 g cm⁻³
Crystal system = tetragonal
Formation energy from the elements = 0.820 eV per atom



# 9
This record from Alexandria describes crystalline Sr2PtW at its relaxed geometry. The functional is GGA-PBEsol.

abc: 3.329 3.329 9.531
angles: 90.00 90.00 90.00
Positions (direct):
Sr1 0.000 0.000 0.000
Sr2 0.500 0.500 0.393
Pt1 0.500 0.500 0.764
W1 0.000 0.000 0.640

Results
ρ = 8.712 g cm⁻³
Crystal system = tetragonal
Formation energy from the elements = 0.330 eV per atom



# 10
This record from Alexandria describes crystalline SrY2Pt at its relaxed geometry. The functional is GGA-PBEsol.

abc: 4.313 4.790 4.974
angles: 90.00 90.00 90.00
Positions (direct):
Sr1 0.000 0.000 0.000
Y1 0.000 0.500 0.500
Y2 0.500 0.500 0.000
Pt1 0.500 0.000 0.500

Results
ρ = 7.442 g cm⁻³
Crystal system = orthorhombic
Formation energy from the elements = -0.152 eV per atom



# 11
This record from Alexandria describes crystalline Sr2YPt at its relaxed geometry. The functional is GGA-PBEsol.

abc: 3.857 9.125 9.125
angles: 25.88 90.00 90.00
Positions (direct):
Sr1 0.000 0.000 0.000
Sr2 0.500 0.317 0.317
Y1 0.000 0.670 0.670
Pt1 0.500 0.143 0.143

Results
ρ = 5.442 g cm⁻³
Crystal system = orthorhombic
Formation energy from the elements = -0.514 eV per atom



# 12
This record from Alexandria describes crystalline SrZnPt at its relaxed geometry. The functional is GGA-PBEsol.

abc: 4.841 4.841 4.841
angles: 60.00 60.00 60.00
Positions (direct):
Sr1 0.000 0.000 0.000
Zn1 0.250 0.250 0.250
Pt1 0.750 0.750 0.750

Results
ρ = 7.207 g cm⁻³
Crystal system = cubic
Formation energy from the elements = 0.200 eV per atom



Among the records above, which one has the highest ρ? SrPt2W



Which of these has the lowest formation energy from the elements? Sr2TlPt